VASP calculation (GGA-PBE) on TbSmPdPt after structural relaxation.

Lattice parameters (Å, degrees): 3.8261 4.5249 5.6760 90.00 109.70 90.00
Atoms (fractional coordinates):
1 Tb 0.8634 0.5000 0.7268
2 Sm 0.1379 0.0000 0.2758
3 Pd 0.5862 0.5000 0.1724
4 Pt 0.4125 0.0000 0.8249

Properties
The value obtained for the excess energy over the best structure of this formula in the dataset is 0.0 meV/atom. The formation energy comes out at -1.062 eV/atom.